(1)
Crystalline PaCdCuNi at its relaxed geometry. Source: the Alexandria database, functional PBE.

Summary:
Crystal system = cubic
SG = No. 216
DFT formation energy = -0.056 eV per atom
Size of the total moment = 0.00 μB per formula unit
Density = 10752 kg/m3

a = 4.6679 Å, b = 4.6679 Å, c = 4.6679 Å
α = 60.00°, β = 60.00°, γ = 60.00°
Closest atoms and distances in Å follow each position.
Fractional positions:
Pa 0.5000 0.5000 0.5000  4 Cu 2.86, 4 Ni 2.86
Ni 0.2500 0.2500 0.2500  4 Cd 2.86, 4 Pa 2.86
Cu 0.7500 0.7500 0.7500  4 Pa 2.86, 4 Cd 2.86
Cd 0.0000 0.0000 0.0000  4 Ni 2.86, 4 Cu 2.86

***

(2)
Crystalline ErFeS at its relaxed geometry. Source: the Alexandria database, functional PBE.

Summary:
Crystal system = trigonal
SG = No. 166
Energy = -6.469 eV per atom
Size of the total moment = 0.59 μB per formula unit
Density = 6194 kg/m3

a = 3.8306 Å, b = 3.8306 Å, c = 10.9913 Å
α = 79.96°, β = 79.96°, γ = 60.00°
Closest atoms and distances in Å follow each position.
Fractional positions:
Er 0.4302 0.4302 0.7095  3 S 2.58
Er 0.5698 0.5698 0.2905  3 S 2.58
S 0.2778 0.2778 0.1665  3 Er 2.58
S 0.7222 0.7222 0.8335  3 Er 2.58
Fe 0.1676 0.1676 0.4971  3 Fe 2.21
Fe 0.8324 0.8324 0.5029  3 Fe 2.21

***

Among the records above, which one has the lowest size of the total moment? PaCdCuNi

***

The highest size of the total moment belongs to which entry? ErFeS

***

Which formula does entry 2 have? ErFeS

***

Which of these has the lowest size of the total moment? PaCdCuNi